(1)
Here is an optimized crystal structure of SrTaPt from the Alexandria database. Energies are from PBE.

```
SrTaPt
1.0
4.507 0.000 0.000
0.000 11.924 0.000
0.000 0.000 5.486
Sr Pt Ta
4 4 4
Direct
0.000 0.212 0.250
0.000 0.788 0.750
0.500 0.712 0.250
0.500 0.288 0.750
0.000 0.943 0.250
0.000 0.057 0.750
0.500 0.443 0.250
0.500 0.557 0.750
0.000 0.500 0.000
0.000 0.500 0.500
0.500 0.000 0.000
0.500 0.000 0.500
```

Results
Energy above the lowest structure with this stoichiometry   0.0 kJ/mol of atoms
Theoretical density   10445 kg/m³
Energy of formation   -312 meV/atom
M_tot   0.00 Bohr magnetons per cell
Electronic total energy   -6.84 eV per atom
Space-group type   Cmcm (63)

***

(2)
Here is an optimized crystal structure of SrTa2Pt2 from the Alexandria database. Energies are from PBE.

```
SrTa2Pt2
1.0
-1.561 2.095 4.070
-4.570 -0.947 -1.266
-2.814 -3.735 3.717
Sr Pt Ta
1 2 2
Direct
0.000 0.000 0.000
0.750 0.250 0.500
0.250 0.750 0.500
0.358 0.358 0.285
0.642 0.642 0.715
```

Results
Energy above the lowest structure with this stoichiometry   0.0 kJ/mol of atoms
Theoretical density   12171 kg/m³
Energy of formation   -187 meV/atom
M_tot   0.00 Bohr magnetons per cell
Electronic total energy   -7.68 eV per atom
Space-group type   I4/mmm (139)

***

(3)
Here is an optimized crystal structure of Sr2TaPt from the Alexandria database. Energies are from PBE.

```
Sr2TaPt
1.0
-2.585 0.064 3.479
3.058 -2.046 2.310
1.974 4.514 1.384
Pt Sr Ta
1 2 1
Direct
0.000 0.500 0.500
0.000 0.000 0.000
0.500 0.500 0.000
0.500 0.000 0.500
```

Results
Energy above the lowest structure with this stoichiometry   55.7 kJ/mol of atoms
Theoretical density   9500 kg/m³
Energy of formation   560 meV/atom
M_tot   0.00 Bohr magnetons per cell
Electronic total energy   -4.75 eV per atom
Space-group type   P4/mmm (123)

***

(4)
Here is an optimized crystal structure of SrTaPt4 from the Alexandria database. Energies are from PBE.

```
SrTaPt4
1.0
0.000 3.814 3.814
3.814 0.000 3.814
3.814 3.814 0.000
Sr Ta Pt
1 1 4
Direct
0.750 0.750 0.750
0.000 0.000 0.000
0.876 0.375 0.375
0.375 0.375 0.876
0.375 0.876 0.375
0.375 0.375 0.375
```

Results
Theoretical density   15701 kg/m³
Energy of formation   -287 meV/atom
M_tot   0.00 Bohr magnetons per cell
Electronic total energy   -6.57 eV per atom
Space-group type   F-43m (216)

***

> Which value of M_tot does entry 3 give?

0.00 Bohr magnetons per cell

***

> Which value of theoretical density does entry 3 give?

9500 kg/m³

***

> Number 3 is which compound?

Sr2TaPt